MgP2Rh3 PBE optimized geometry; energy relative to the elements = -0.686 eV/atom; space-group type = C2/m, No. 12; spin magnetization = 0.0 Bohr magnetons per cell
1.0
3.8565 0.0000 0.0000
-1.9283 7.3714 -2.3406
0.0000 0.1308 9.4795
P Rh Mg
6 9 3
Direct
0.6374 0.2748 0.4507
0.5459 0.0919 0.7828
0.8103 0.6206 0.8720
0.4541 0.9081 0.2172
0.3626 0.7252 0.5493
0.1897 0.3794 0.1280
0.6821 0.3642 0.9497
0.3806 0.7611 0.8017
0.9753 0.9507 0.6928
0.2178 0.4355 0.3943
0.0247 0.0493 0.3072
0.5000 0.0000 0.5000
0.6194 0.2389 0.1983
0.7822 0.5645 0.6057
0.3179 0.6358 0.0503
0.0000 0.0000 0.0000
0.8373 0.6747 0.2929
0.1627 0.3253 0.7071